A plane-wave DFT calculation with PBE was carried out for an optimized crystal structure of AcErAs2.

Cell: 7.475 7.475 7.475 Å, 33.59 33.59 33.59°
Fractional coordinates of all 4 atoms:
Ac1 0.000 0.000 0.000
Er1 0.500 0.500 0.500
As1 0.242 0.242 0.242
As2 0.758 0.758 0.758

Values from the calculation:
**Crystal system**: trigonal
**Energy relative to the lowest polymorph listed for this composition**: 0.0000 eV/atom
**Total moment**: 0.0 Bohr magnetons per cell
**Energy of formation from the pure elements**: -1459 meV/atom
**VASP energy**: -23.8 eV per cell